First-principles (GGA-PBE) data for a relaxed structure of ZrFeGeH, as listed in Alexandria.

```
8
Lattice="-0.2892 2.3110 -2.9732 -3.5801 0.7560 0.9358 2.1521 5.3263 3.9306" Properties=species:S:1:pos:R:3 pbc="T T T"
H 1.0761 2.6631 1.9653
H -0.8586 4.1966 0.9466
Fe -1.9346 1.5335 -1.0187
Fe 0.0000 0.0000 0.0000
Ge 0.3039 2.2653 -0.6676
Ge -0.0864 4.5944 3.5794
Zr -1.0483 2.2138 1.8227
Zr 1.2657 4.6459 1.0892
```

Calculated values
* symmetry: P4/nmm, No. 129
* uncorrected energy: -53.76 eV/cell
* magnetization: 1.280 μB/f.u.

***

First-principles (GGA-PBE) data for a relaxed structure of Th3As2Rh7, as listed in Alexandria.

```
12
Lattice="4.0890 0.0000 0.0000 0.0000 4.0890 0.0000 -2.0445 -2.0445 13.5705" Properties=species:S:1:pos:R:3 pbc="T T T"
Th 0.0000 0.0000 8.8464
Th 2.0445 2.0445 0.0000
Th 2.0445 2.0445 4.7242
Rh 2.0445 0.0000 2.1737
Rh 0.0000 0.0000 0.0000
Rh 2.0445 0.0000 11.3969
Rh 0.0000 2.0445 2.1737
Rh 0.0000 2.0445 11.3969
Rh 0.0000 0.0000 5.9643
Rh 2.0445 2.0445 7.6063
As 0.0000 0.0000 3.4924
As 2.0445 2.0445 10.0781
```

Calculated values
* symmetry: I4/mmm, No. 139
* uncorrected energy: -93.24 eV/cell
* magnetization: 0.000 μB/f.u.

***

First-principles (GGA-PBE) data for a relaxed structure of CaSm2UAs4, as listed in Alexandria.

```
8
Lattice="4.1802 0.0000 0.0000 0.0000 7.2321 0.1519 0.0000 -2.5021 6.7915" Properties=species:S:1:pos:R:3 pbc="T T T"
Sm 2.0901 -1.2510 3.3957
Sm 0.0000 2.3650 3.4717
As 0.0000 4.8886 1.7710
As 2.0901 3.5962 5.2630
As 2.0901 1.1338 1.6804
As 0.0000 -0.1586 5.1724
U 0.0000 0.0000 0.0000
Ca 2.0901 3.6160 0.0760
```

Calculated values
* symmetry: P2/m, No. 10
* uncorrected energy: -51.15 eV/cell
* magnetization: 1.866 μB/f.u.

***

First-principles (GGA-PBE) data for a relaxed structure of La8TeN4, as listed in Alexandria.

```
13
Lattice="8.0079 0.0000 0.0000 4.0039 6.9350 0.0000 4.0039 2.3117 6.5384" Properties=species:S:1:pos:R:3 pbc="T T T"
N 5.9540 3.4375 2.4307
N 10.0618 3.4375 2.4307
N 8.0079 6.9950 2.4307
N 8.0079 4.6234 5.7847
La 4.0039 2.3117 3.7530
La 2.2743 1.3131 0.9285
La 4.0039 4.3089 0.9285
La 8.0079 4.6234 1.2654
La 5.7336 1.3131 0.9285
La 8.0079 2.7342 3.9371
La 9.6440 5.5679 3.9371
La 6.3718 5.5679 3.9371
Te 12.0118 6.9350 4.9038
```

Calculated values
* symmetry: F-43m, No. 216
* formation energy from raw total energies: -0.796 eV per atom
* uncorrected energy: -86.21 eV/cell
* magnetization: 0.001 μB/f.u.